Compound: K2Cr4CdO16
Source: the Alexandria database
Functional: PBE with a Hubbard U
Structure: optimized geometry

Values from the calculation:
- VASP energy (eV per cell) = -135.5
- SG = P-1

Structure (CIF):
```
data_K2Cr4CdO16
_cell_length_a 6.8985
_cell_length_b 7.1829
_cell_length_c 8.5705
_cell_angle_alpha 82.67
_cell_angle_beta 81.30
_cell_angle_gamma 68.65
_space_group_name_H-M_alt 'P 1'
_space_group_IT_number 1
_space_group_name_Hall 'P 1'
loop_
_atom_site_label
_atom_site_type_symbol
_atom_site_fract_x
_atom_site_fract_y
_atom_site_fract_z
K1 K 0.2331 0.2283 0.1446
K2 K 0.7669 0.7717 0.8554
Cr1 Cr 0.2117 0.0513 0.6298
Cr2 Cr 0.2238 0.7228 0.1404
Cr3 Cr 0.7762 0.2772 0.8596
Cr4 Cr 0.7883 0.9487 0.3702
Cd1 Cd 0.5000 0.5000 0.5000
O1 O 0.0211 0.9219 0.2392
O2 O 0.1254 0.6310 0.0216
O3 O 0.1641 0.2176 0.4765
O4 O 0.2325 0.4062 0.6394
O5 O 0.2928 0.8255 0.5703
O6 O 0.3407 0.5418 0.2714
O7 O 0.3857 0.8227 0.0406
O8 O 0.3926 0.0783 0.7198
O9 O 0.6074 0.9217 0.2802
O10 O 0.6143 0.1773 0.9594
O11 O 0.6593 0.4582 0.7286
O12 O 0.7072 0.1745 0.4297
O13 O 0.7675 0.5938 0.3606
O14 O 0.8359 0.7824 0.5235
O15 O 0.8746 0.3690 0.9784
O16 O 0.9789 0.0781 0.7608
```